DFT (GGA-PBE) results for a relaxed Na2B2P3 crystal.

a = 5.8685 Å, b = 6.0048 Å, c = 6.2719 Å
α = 90.00°, β = 98.22°, γ = 90.00°
Closest atoms and distances in Å follow each position.
Fractional coordinates of all 14 atoms:
Na (0.2079, 0.1125, 0.4210)  2 B 2.66-2.87, 3 P 2.71-2.91
Na (0.2079, 0.3875, 0.9210)  2 B 2.66-2.87, 3 P 2.71-2.91
Na (0.7921, 0.6125, 0.0790)  2 B 2.66-2.87, 3 P 2.71-2.91
Na (0.7921, 0.8875, 0.5790)  2 B 2.66-2.87, 3 P 2.71-2.91
B (0.3905, 0.6334, 0.6362)  3 P 1.94-2.00
B (0.3905, 0.8666, 0.1362)  3 P 1.94-2.00
B (0.6095, 0.1334, 0.8638)  3 P 1.94-2.00
B (0.6095, 0.3666, 0.3638)  3 P 1.94-2.00
P (0.0000, 0.0000, 0.0000)  2 B 2.46, 2 P 2.68, 2 Na 2.71
P (0.0000, 0.5000, 0.5000)  2 B 2.46, 2 P 2.68, 2 Na 2.71
P (0.3749, 0.6108, 0.3253)  3 B 1.94-2.00
P (0.3749, 0.8892, 0.8253)  3 B 1.94-2.00
P (0.6251, 0.1108, 0.1747)  3 B 1.94-2.00
P (0.6251, 0.3892, 0.6747)  3 B 1.94-2.00

Magnetization: 0.000 μB per atom
DFT formation energy: 0.074 eV/atom